## SrZnFe2Br (GGA-PBE)

Data for a geometry-optimized SrZnFe2Br structure.

Calculated values
The calculation puts the formation energy without anion corrections at 1.232 eV/atom.

Cell lengths 6.0803, 6.0803, 5.8171 Å; angles 90.00, 90.00, 90.00 degrees
With the nearest neighbours (Å) after each atom.
Element x y z (fractional)
Sr  0.0000  0.0000  0.0000  2 Br 2.91, 4 Fe 3.04
Zn  0.5000  0.5000  0.5000  8 Fe 4.21, 4 Br 4.30
Fe  0.0000  0.5000  0.0000  2 Sr 3.04
Fe  0.5000  0.0000  0.0000  2 Sr 3.04
Br  0.0000  0.0000  0.5000  2 Sr 2.91